NiAg2 PBE-GGA relaxed; ΔE_f = 215 meV/atom; relative energy among the computed polymorphs = 0.035 eV per atom
1.0
6.080 -0.017 0.000
4.755 3.789 0.000
-5.417 -1.886 2.015
Ni Ag
1 2
Cartesian
3.612 1.258 0.000
7.339 2.555 0.000
10.719 3.732 0.000